DFT (GGA-PBE) results for a geometry-optimized Nd2ZnC structure.

Unit cell a=9.553 b=9.553 c=9.553 alpha=22.03 beta=22.03 gamma=22.03
Atoms (fractional coordinates):
1 Nd 0.116 0.116 0.116
2 Nd 0.884 0.884 0.884
3 Zn 0.000 0.000 0.000
4 C 0.500 0.500 0.500

The volume is 107.55 Å³ per cell. The density of states at the Fermi level is 0.84 states/eV/atom. The calculated formation energy comes out at 0.094 eV per atom.

***

DFT (GGA-PBE) results for a geometry-optimized Y2ZnCu2Rh5 structure.

Unit cell a=9.253 b=9.253 c=3.830 alpha=90.00 beta=90.00 gamma=90.00
Atoms (fractional coordinates):
1 Y 0.176 0.324 0.000
2 Y 0.324 0.824 0.000
3 Y 0.676 0.176 0.000
4 Y 0.824 0.676 0.000
5 Zn 0.000 0.000 0.000
6 Zn 0.500 0.500 0.000
7 Cu 0.122 0.622 0.000
8 Cu 0.378 0.122 0.000
9 Cu 0.622 0.878 0.000
10 Cu 0.878 0.378 0.000
11 Rh 0.000 0.500 0.500
12 Rh 0.066 0.797 0.500
13 Rh 0.203 0.066 0.500
14 Rh 0.297 0.566 0.500
15 Rh 0.434 0.297 0.500
16 Rh 0.500 0.000 0.500
17 Rh 0.566 0.703 0.500
18 Rh 0.703 0.434 0.500
19 Rh 0.797 0.934 0.500
20 Rh 0.934 0.203 0.500

The volume is 327.94 Å³ per cell. The density of states at the Fermi level is 1.10 states/eV/atom. The calculated formation energy comes out at -0.423 eV per atom.

***

DFT (GGA-PBE) results for a geometry-optimized Rb3YTa2O8 structure.

Unit cell a=6.280 b=6.280 c=8.070 alpha=90.00 beta=90.00 gamma=120.00
Atoms (fractional coordinates):
1 Rb 0.000 0.000 0.000
2 Rb 0.333 0.667 0.695
3 Rb 0.667 0.333 0.305
4 Y 0.000 0.000 0.500
5 Ta 0.333 0.667 0.252
6 Ta 0.667 0.333 0.748
7 O 0.170 0.340 0.333
8 O 0.170 0.830 0.333
9 O 0.333 0.667 0.027
10 O 0.340 0.170 0.667
11 O 0.660 0.830 0.333
12 O 0.667 0.333 0.973
13 O 0.830 0.170 0.667
14 O 0.830 0.660 0.667

The volume is 275.58 Å³ per cell. The density of states at the Fermi level is 0.00 states/eV/atom. As for the energy relative to the elements, uncorrected: -2677 meV/atom.

***

DFT (GGA-PBE) results for a geometry-optimized CsIn3Pb3 structure.

Unit cell a=9.713 b=9.713 c=5.747 alpha=90.00 beta=90.00 gamma=120.00
Atoms (fractional coordinates):
1 Cs 0.333 0.667 0.250
2 Cs 0.667 0.333 0.750
3 In 0.092 0.604 0.750
4 In 0.396 0.487 0.750
5 In 0.487 0.092 0.250
6 In 0.513 0.908 0.750
7 In 0.604 0.513 0.250
8 In 0.908 0.396 0.250
9 Pb 0.028 0.236 0.750
10 Pb 0.208 0.972 0.750
11 Pb 0.236 0.208 0.250
12 Pb 0.764 0.792 0.750
13 Pb 0.792 0.028 0.250
14 Pb 0.972 0.764 0.250

The volume is 469.53 Å³ per cell. The calculation puts the energy above the most stable polymorph in this dataset at 30.9 meV/atom. The density of states at the Fermi level is 0.50 states/eV/atom. The calculated formation energy comes out at 0.065 eV per atom.

***

| no. | magnetization (μB per atom) |
| --- | --- |
| 1 | 0.000 |
| 2 | 0.000 |
| 3 | 0.000 |
| 4 | 0.000 |